Entry 1:
# K4TbTh3S8

An optimized crystal structure of K4TbTh3S8 (PBE, the Alexandria database).

Cell: 8.851 8.851 8.851 Å, 55.06 55.06 55.06°
Positions (direct):
1 K 0.000 0.000 0.000
2 K 0.000 0.500 0.500
3 K 0.500 0.000 0.500
4 K 0.500 0.500 0.000
5 Tb 0.500 0.500 0.500
6 Th 0.000 0.000 0.500
7 Th 0.000 0.500 0.000
8 Th 0.500 0.000 0.000
9 S 0.239 0.239 0.239
10 S 0.240 0.735 0.735
11 S 0.265 0.265 0.760
12 S 0.265 0.760 0.265
13 S 0.735 0.240 0.735
14 S 0.735 0.735 0.240
15 S 0.760 0.265 0.265
16 S 0.761 0.761 0.761

Energy relative to the elements, uncorrected: -1.72 eV per atom
Symmetry: No. 166
Size of the total moment: 0.0001 μB/atom

Entry 2:
# KTbTiS4

An optimized crystal structure of KTbTiS4 (PBE, the Alexandria database).

Cell: 6.649 6.760 8.810 Å, 90.00 107.73 90.00°
Positions (direct):
1 K 0.233 0.250 0.439
2 K 0.767 0.750 0.561
3 Tb 0.289 0.250 0.952
4 Tb 0.711 0.750 0.048
5 Ti 0.260 0.750 0.170
6 Ti 0.740 0.250 0.830
7 S 0.051 0.750 0.920
8 S 0.052 0.750 0.328
9 S 0.499 0.003 0.206
10 S 0.499 0.497 0.206
11 S 0.501 0.503 0.794
12 S 0.501 0.997 0.794
13 S 0.948 0.250 0.672
14 S 0.949 0.250 0.080

Energy relative to the elements, uncorrected: -1.60 eV per atom
Symmetry: No. 11
Size of the total moment: 0.0000 μB/atom

Entry 3:
# K2TbTiS4

An optimized crystal structure of K2TbTiS4 (PBE, the Alexandria database).

Cell: 6.928 6.928 6.928 Å, 117.25 117.25 94.83°
Positions (direct):
1 K 0.000 0.000 0.000
2 K 0.750 0.250 0.500
3 Tb 0.250 0.750 0.500
4 Ti 0.500 0.500 0.000
5 S 0.214 0.151 0.590
6 S 0.375 0.786 0.937
7 S 0.562 0.625 0.410
8 S 0.849 0.438 0.063

Energy relative to the elements, uncorrected: -1.41 eV per atom
Symmetry: No. 82
Size of the total moment: 0.1250 μB/atom

Entry 4:
# K3Tb3TiS8

An optimized crystal structure of K3Tb3TiS8 (PBE, the Alexandria database).

Cell: 8.778 8.778 8.778 Å, 53.34 53.34 53.34°
Positions (direct):
1 K 0.000 0.500 0.500
2 K 0.500 0.000 0.500
3 K 0.500 0.500 0.000
4 Tb 0.000 0.000 0.500
5 Tb 0.000 0.500 0.000
6 Tb 0.500 0.000 0.000
7 Ti 0.500 0.500 0.500
8 S 0.235 0.235 0.235
9 S 0.258 0.715 0.715
10 S 0.285 0.285 0.742
11 S 0.285 0.742 0.285
12 S 0.715 0.258 0.715
13 S 0.715 0.715 0.258
14 S 0.742 0.285 0.285
15 S 0.765 0.765 0.765

Energy relative to the elements, uncorrected: -1.74 eV per atom
Symmetry: No. 166
Size of the total moment: 0.0000 μB/atom

Number 1: calculated volume 27.127 Å³ per atom. Number 2: calculated volume 26.939 Å³ per atom. Number 3: calculated volume 30.491 Å³ per atom. Number 4: calculated volume 26.917 Å³ per atom.